A relaxed structure of AlC7. Source: the Alexandria database, functional PBE.

POSCAR file:
```
AlC7
1.0
0.000 3.151 3.151
3.151 0.000 3.151
3.151 3.151 0.000
Al C
1 7
Direct
0.000 0.000 0.000
0.000 0.000 0.500
0.000 0.500 0.000
0.000 0.500 0.500
0.500 0.000 0.000
0.500 0.000 0.500
0.500 0.500 0.000
0.500 0.500 0.500
```

Summary:
- Total magnetization: 0.0 μB/cell
- ΔE_f: 3.620 eV/atom
- DOS(E_F): 2.272 states/eV/f.u.